Sm4Te2CSe: optimized geometry, PBE.

Total magnetization   0.00 μB per formula unit
Final energy   -47.780 eV for the cell shown
Formation energy from raw total energies   -9.91 eV/f.u.

CIF file:
```
data_Sm4Te2CSe
_chemical_formula_sum 'Sm4 Te2 C1 Se1'
_symmetry_space_group_name_H-M 'P 1'
_symmetry_Int_Tables_number 1
_cell_length_a 4.091
_cell_length_b 7.237
_cell_length_c 7.513
_cell_angle_alpha 108.23
_cell_angle_beta 90.00
_cell_angle_gamma 90.00
loop_
_symmetry_equiv_pos_as_xyz
'x,y,z'
loop_
_atom_site_label
_atom_site_type_symbol
_atom_site_fract_x
_atom_site_fract_y
_atom_site_fract_z
_atom_site_occupancy
Sm1 Sm 0.500 0.730 0.795 1
Sm2 Sm 0.000 0.708 0.199 1
Sm3 Sm 0.500 0.270 0.205 1
Sm4 Sm 0.000 0.292 0.801 1
Se1 Se 0.000 0.000 0.000 1
C1 C 0.500 0.500 0.000 1
Te1 Te 0.500 0.000 0.500 1
Te2 Te 0.000 0.500 0.500 1
```